The following is a PBE+U calculation of a geometry-optimized Ce2V2O7 structure, from Alexandria.

Final energy in eV per atom: -8.30
Calculated density in Mg/m³: 6.0
Space group: Fd-3m

Cell lengths 7.2922, 7.2923, 7.2922 Å; angles 60.00, 60.00, 60.00 degrees
Each line ends with the local moment (μB).
Atoms (fractional coordinates):
Ce 0.6250 0.6250 0.6250  0.57
Ce 0.6250 0.6250 0.1250  0.57
Ce 0.6250 0.1250 0.6250  0.57
Ce 0.1250 0.6250 0.6250  0.57
V 0.6250 0.1250 0.1250  1.53
V 0.1250 0.6250 0.1250  1.53
V 0.1250 0.1250 0.6250  1.53
V 0.1250 0.1250 0.1250  1.53
O 0.2092 0.2092 0.7908  -0.06
O 0.2092 0.7908 0.2092  -0.06
O 0.4592 0.0408 0.4592  -0.06
O 0.4592 0.4592 0.0408  -0.06
O 0.7500 0.7500 0.7500  -0.02
O 0.7908 0.2092 0.2092  -0.06
O 0.4592 0.0408 0.0408  -0.06
O 0.0408 0.4592 0.4592  -0.06
O 0.0408 0.0408 0.4592  -0.06
O 0.0408 0.4592 0.0408  -0.06
O 0.2092 0.7908 0.7908  -0.06
O 0.5000 0.5000 0.5000  -0.02
O 0.7908 0.2092 0.7908  -0.06
O 0.7908 0.7908 0.2092  -0.06